La2CoIr | SCAN | single point on PBEsol structure Values from VASP.

Calculated values
Space group: Imm2, No. 44
Final energy in eV/cell: -175.7
Volume in Å³ per cell: 88
Formation energy in eV/atom: -0.28
ρ in g/cm3: 10.0

Quantum ESPRESSO input file:
```
&SYSTEM
  ibrav = 0, nat = 4, ntyp = 3
/
ATOMIC_SPECIES
Ir 192.22 Ir.upf
Co 58.93 Co.upf
La 138.91 La.upf
CELL_PARAMETERS angstrom
-1.161 -0.087 -3.483
2.305 -3.344 -0.685
-5.015 -1.667 3.649
ATOMIC_POSITIONS crystal
Ir 0.192 0.692 0.384
Co 0.553 0.553 0.106
La 0.986 0.986 0.971
La 0.769 0.269 0.539
```